Entry 1:
Tb4SmSc8 | PBE-GGA | relaxed

Cell: 7.4017 7.4017 7.4017 Å, 90.15 90.15 90.15°
Last column: nearest neighbours and their distance in Å.
Fractional coordinates of all 13 atoms:
Sc  0.7618  0.2401  0.7618  4 Tb 3.06-3.26, 1 Sm 3.35
Sc  0.2389  0.2389  0.2389  4 Tb 3.05-3.26, 1 Sm 3.34
Sc  0.2401  0.7618  0.7618  4 Tb 3.06-3.26, 1 Sm 3.35
Sc  0.2382  0.2382  0.7599  4 Tb 3.06-3.26, 1 Sm 3.35
Sc  0.7599  0.2382  0.2382  4 Tb 3.06-3.26, 1 Sm 3.35
Sc  0.7618  0.7618  0.2401  4 Tb 3.06-3.26, 1 Sm 3.35
Sc  0.2382  0.7599  0.2382  4 Tb 3.06-3.26, 1 Sm 3.35
Sc  0.7611  0.7611  0.7611  4 Tb 3.05-3.26, 1 Sm 3.34
Tb  0.0000  0.0000  0.0000  8 Sc 3.05-3.06
Tb  0.5000  0.0000  0.5000  8 Sc 3.25-3.26
Tb  0.5000  0.5000  0.0000  8 Sc 3.25-3.26
Tb  0.0000  0.5000  0.5000  8 Sc 3.25-3.26
Sm  0.5000  0.5000  0.5000  8 Sc 3.34-3.35, 6 Tb 3.70

Calculated values
Calculated total energy, eV/cell: -66.1
Formation enthalpy at 0 K, meV/atom: 601
DOS(E_F), states/eV per atom: 1.87
V, A^3/atom: 31.2
Calculated density, Mg/m³: 4.69


Entry 2:
Tb4Sm2Sc | PBE-GGA | relaxed

Cell: 8.3823 8.3823 8.3823 Å, 109.46 109.50 109.46°
Last column: nearest neighbours and their distance in Å.
Fractional coordinates of all 14 atoms:
Sm  0.3750  0.8612  0.7362  8 Tb 3.34-3.47
Sm  0.2638  0.6388  0.1250  8 Tb 3.34-3.47
Sm  0.4862  0.3612  0.6250  8 Tb 3.34-3.47
Sm  0.8750  0.1388  0.5138  8 Tb 3.34-3.47
Tb  0.1079  0.8979  0.3632  2 Sc 3.22-3.35, 4 Sm 3.34-3.47, 1 Tb 3.42
Tb  0.4653  0.1021  0.2100  2 Sc 3.22-3.35, 4 Sm 3.34-3.47, 1 Tb 3.42
Tb  0.7900  0.2553  0.8921  2 Sc 3.22-3.35, 4 Sm 3.34-3.47, 1 Tb 3.42
Tb  0.6421  0.7553  0.0400  2 Sc 3.22-3.35, 4 Sm 3.34-3.47, 1 Tb 3.42
Tb  0.1132  0.3979  0.3579  2 Sc 3.22-3.35, 4 Sm 3.34-3.47, 1 Tb 3.42
Tb  0.6368  0.7447  0.5347  2 Sc 3.22-3.35, 4 Sm 3.34-3.47, 1 Tb 3.42
Tb  0.9600  0.6021  0.7153  2 Sc 3.22-3.35, 4 Sm 3.34-3.47, 1 Tb 3.42
Tb  0.2847  0.2447  0.8868  2 Sc 3.22-3.35, 4 Sm 3.34-3.47, 1 Tb 3.42
Sc  0.0000  0.0000  0.0000  8 Tb 3.22-3.35
Sc  0.7500  0.5000  0.2500  8 Tb 3.22-3.35

Calculated values
Calculated total energy, eV/cell: -64.5
Formation enthalpy at 0 K, meV/atom: 294
DOS(E_F), states/eV per atom: 1.87
V, A^3/atom: 32.4
Calculated density, Mg/m³: 7.19


Entry 3:
Tb2Sm8Sc | PBE-GGA | relaxed

Cell: 6.6787 10.0671 10.0671 Å, 39.13 60.47 60.47°
Last column: nearest neighbours and their distance in Å.
Fractional coordinates of all 11 atoms:
Sm  0.7260  0.5955  0.5955  6 Sm 3.37-3.60, 1 Tb 3.68
Sm  0.1629  0.7547  0.7547  5 Sm 3.32-3.49, 2 Tb 3.40-3.54
Sm  0.7739  0.6592  0.1776  1 Sc 3.19, 5 Sm 3.25-3.49, 1 Tb 3.45
Sm  0.2740  0.4045  0.4045  6 Sm 3.37-3.60, 1 Tb 3.68
Sm  0.2261  0.3408  0.8224  1 Sc 3.19, 5 Sm 3.25-3.49, 1 Tb 3.45
Sm  0.2261  0.8224  0.3408  1 Sc 3.19, 5 Sm 3.25-3.49, 1 Tb 3.45
Sm  0.8371  0.2453  0.2453  5 Sm 3.32-3.49, 2 Tb 3.40-3.54
Sm  0.7739  0.1776  0.6592  1 Sc 3.19, 5 Sm 3.25-3.49, 1 Tb 3.45
Sc  0.0000  0.0000  0.0000  4 Sm 3.19
Tb  0.5652  0.8131  0.8131  7 Sm 3.40-3.72, 1 Sc 3.58
Tb  0.4348  0.1869  0.1869  7 Sm 3.40-3.72, 1 Sc 3.58

Calculated values
Calculated total energy, eV/cell: -51.4
Formation enthalpy at 0 K, meV/atom: 173
DOS(E_F), states/eV per atom: 1.62
V, A^3/atom: 33.1
Calculated density, Mg/m³: 7.14


Entry 4:
Tb3Sm4Sc | PBE-GGA | relaxed

Cell: 8.7474 8.7474 9.0468 Å, 118.91 118.91 90.00°
Last column: nearest neighbours and their distance in Å.
Fractional coordinates of all 16 atoms:
Tb  0.1498  0.6498  0.0000  6 Sm 3.27-3.39, 2 Sc 3.33
Tb  0.3502  0.1498  0.0000  6 Sm 3.27-3.39, 2 Sc 3.33
Tb  0.8502  0.3502  0.0000  6 Sm 3.27-3.39, 2 Sc 3.33
Tb  0.7500  0.7500  0.5000  2 Sc 3.30, 8 Sm 3.52
Tb  0.2500  0.2500  0.5000  2 Sc 3.30, 8 Sm 3.52
Tb  0.6498  0.8502  0.0000  6 Sm 3.27-3.39, 2 Sc 3.33
Sm  0.6873  0.4878  0.6751  5 Tb 3.27-3.52, 3 Sm 3.38-3.50
Sm  0.5122  0.0122  0.3249  5 Tb 3.27-3.52, 3 Sm 3.38-3.50
Sm  0.9878  0.1873  0.6751  5 Tb 3.27-3.52, 3 Sm 3.38-3.50
Sm  0.1873  0.6873  0.6751  5 Tb 3.27-3.52, 3 Sm 3.38-3.50
Sm  0.0122  0.8127  0.3249  5 Tb 3.27-3.52, 3 Sm 3.38-3.50
Sm  0.4878  0.9878  0.6751  5 Tb 3.27-3.52, 3 Sm 3.38-3.50
Sm  0.3127  0.5122  0.3249  5 Tb 3.27-3.52, 3 Sm 3.38-3.50
Sm  0.8127  0.3127  0.3249  5 Tb 3.27-3.52, 3 Sm 3.38-3.50
Sc  0.5000  0.5000  0.0000  6 Tb 3.30-3.33
Sc  0.0000  0.0000  0.0000  6 Tb 3.30-3.33

Calculated values
Calculated total energy, eV/cell: -76.7
Formation enthalpy at 0 K, meV/atom: 92
DOS(E_F), states/eV per atom: 1.63
V, A^3/atom: 31.6
Calculated density, Mg/m³: 7.38


Entry 5:
Tb3SmSc5 | PBE-GGA | relaxed

Cell: 8.3230 8.3230 9.2991 Å, 116.58 116.58 90.00°
Last column: nearest neighbours and their distance in Å.
Fractional coordinates of all 18 atoms:
Sc  0.3410  0.8410  0.2702  1 Tb 2.83, 1 Sm 2.93
Sc  0.5000  0.5000  0.0000  6 Tb 3.32-3.60, 8 Sc 3.57
Sc  0.0708  0.5708  0.7298  1 Tb 2.83, 1 Sm 2.93
Sc  0.9292  0.4292  0.2702  1 Tb 2.83, 1 Sm 2.93
Sc  0.4292  0.3410  0.2702  1 Tb 2.83, 1 Sm 2.93
Sc  0.5708  0.6590  0.7298  1 Tb 2.83, 1 Sm 2.93
Sc  0.0000  0.0000  0.0000  6 Tb 3.32-3.60, 8 Sc 3.57
Sc  0.6590  0.1590  0.7298  1 Tb 2.83, 1 Sm 2.93
Sc  0.8410  0.9292  0.2702  1 Tb 2.83, 1 Sm 2.93
Sc  0.1590  0.0708  0.7298  1 Tb 2.83, 1 Sm 2.93
Tb  0.6199  0.1199  0.0000  1 Tb 2.82, 2 Sc 2.83
Tb  0.3801  0.8801  0.0000  1 Tb 2.82, 2 Sc 2.83
Tb  0.7500  0.7500  0.5000  10 Sc 3.42-3.60
Tb  0.8801  0.6199  0.0000  1 Tb 2.82, 2 Sc 2.83
Tb  0.2500  0.2500  0.5000  10 Sc 3.42-3.60
Tb  0.1199  0.3801  0.0000  1 Tb 2.82, 2 Sc 2.83
Sm  0.7500  0.2500  0.5000  4 Sc 2.93
Sm  0.2500  0.7500  0.5000  4 Sc 2.93

Calculated values
Calculated total energy, eV/cell: -95.5
Formation enthalpy at 0 K, meV/atom: 278
DOS(E_F), states/eV per atom: 1.09
V, A^3/atom: 27.7
Calculated density, Mg/m³: 5.67


Entry 6:
TbSmSc2 | PBE-GGA | relaxed

Cell: 3.4478 3.4480 10.9842 Å, 90.00 90.00 60.01°
Last column: nearest neighbours and their distance in Å.
Fractional coordinates of all 4 atoms:
Sc  0.0070  0.4402  0.1685  3 Tb 3.38, 3 Sm 3.40, 6 Sc 3.45
Sc  0.3402  0.7728  0.6711  3 Tb 3.38, 3 Sm 3.40, 6 Sc 3.45
Sm  0.6736  0.1066  0.4199  6 Sc 3.40, 6 Sm 3.45
Tb  0.6736  0.1065  0.9198  6 Sc 3.38, 6 Tb 3.45

Calculated values
Calculated total energy, eV/cell: -21.8
Formation enthalpy at 0 K, meV/atom: 50
DOS(E_F), states/eV per atom: 1.48
V, A^3/atom: 28.3
Calculated density, Mg/m³: 5.86


Entry 7:
Tb2Sm6Sc | PBE-GGA | relaxed

Cell: 7.1822 8.5885 15.0061 Å, 140.47 90.00 90.00°
Last column: nearest neighbours and their distance in Å.
Fractional coordinates of all 18 atoms:
Sm  0.7618  0.7338  0.9431  1 Sc 3.31, 3 Tb 3.34-3.61, 5 Sm 3.36-3.65
Sm  0.2382  0.2662  0.0569  1 Sc 3.31, 3 Tb 3.34-3.61, 5 Sm 3.36-3.65
Sm  0.2381  0.7338  0.9431  1 Sc 3.31, 3 Tb 3.34-3.61, 5 Sm 3.36-3.65
Sm  0.7382  0.2338  0.4431  1 Sc 3.31, 3 Tb 3.34-3.61, 5 Sm 3.36-3.65
Sm  0.2619  0.2338  0.4431  1 Sc 3.31, 3 Tb 3.34-3.61, 5 Sm 3.36-3.65
Sm  0.0001  0.7565  0.1678  5 Sm 3.25-3.55, 1 Sc 3.63
Sm  0.4999  0.2565  0.6678  5 Sm 3.25-3.55, 1 Sc 3.63
Sm  0.7619  0.2662  0.0569  1 Sc 3.31, 3 Tb 3.34-3.61, 5 Sm 3.36-3.65
Sm  0.9999  0.2435  0.8322  5 Sm 3.25-3.55, 1 Sc 3.63
Sm  0.7381  0.7662  0.5569  1 Sc 3.31, 3 Tb 3.34-3.61, 5 Sm 3.36-3.65
Sm  0.5001  0.7435  0.3322  5 Sm 3.25-3.55, 1 Sc 3.63
Sm  0.2618  0.7662  0.5569  1 Sc 3.31, 3 Tb 3.34-3.61, 5 Sm 3.36-3.65
Sc  0.0000  0.0000  0.5000  6 Sm 3.31-3.63
Sc  0.5000  0.5000  0.0000  6 Sm 3.31-3.63
Tb  0.5000  0.8137  0.7750  7 Sm 3.34-3.69, 2 Tb 3.66
Tb  0.0000  0.6863  0.7250  7 Sm 3.34-3.69, 2 Tb 3.66
Tb  0.0000  0.3137  0.2750  7 Sm 3.34-3.69, 2 Tb 3.66
Tb  0.5000  0.1863  0.2250  7 Sm 3.34-3.69, 2 Tb 3.66

Calculated values
Calculated total energy, eV/cell: -84.9
Formation enthalpy at 0 K, meV/atom: 162
DOS(E_F), states/eV per atom: 1.63
V, A^3/atom: 32.7
Calculated density, Mg/m³: 7.13


Entry 8:
Tb5Sm4Sc | PBE-GGA | relaxed

Cell: 3.4745 10.9944 8.9873 Å, 73.08 101.15 90.00°
Last column: nearest neighbours and their distance in Å.
Fractional coordinates of all 10 atoms:
Sm  0.9096  0.8067  0.8192  2 Tb 3.31-3.50, 5 Sm 3.47-3.61, 2 Sc 3.48
Sm  0.3047  0.0835  0.6094  1 Sc 3.29, 3 Tb 3.42-3.55, 7 Sm 3.47-3.61
Sm  0.6953  0.9165  0.3906  1 Sc 3.29, 3 Tb 3.42-3.55, 7 Sm 3.47-3.61
Sm  0.0904  0.1933  0.1808  2 Tb 3.31-3.50, 5 Sm 3.47-3.61, 2 Sc 3.48
Tb  0.5000  0.5000  0.0000  10 Tb 3.47-3.89, 4 Sm 3.71
Tb  0.1060  0.7130  0.2120  3 Sm 3.31-3.55, 5 Tb 3.35-3.61, 2 Sc 3.60
Tb  0.2066  0.4023  0.4132  7 Tb 3.35-3.61, 2 Sm 3.42-3.50
Tb  0.8940  0.2870  0.7880  3 Sm 3.31-3.55, 5 Tb 3.35-3.61, 2 Sc 3.60
Tb  0.7934  0.5977  0.5868  7 Tb 3.35-3.61, 2 Sm 3.42-3.50
Sc  0.5000  0.0000  0.0000  6 Sm 3.29-3.48, 2 Sc 3.47, 4 Tb 3.60

Calculated values
Calculated total energy, eV/cell: -47.2
Formation enthalpy at 0 K, meV/atom: 111
DOS(E_F), states/eV per atom: 1.64
V, A^3/atom: 32.2
Calculated density, Mg/m³: 7.44